A plane-wave DFT calculation with PBE-GGA was carried out for crystalline Ho2Cu5Ni5 at its relaxed geometry.

Structure (extended XYZ):
```
12
Lattice="-1.730 2.823 2.331 1.679 -2.281 4.010 7.115 4.640 -0.340" Properties=species:S:1:pos:R:3 pbc="T T T"
Ni 1.155 0.753 -0.055
Ho 0.840 -1.140 2.005
Cu 2.162 0.853 4.089
Ho 3.557 2.320 -0.170
Ni 5.573 1.946 1.779
Ni 3.221 0.413 1.891
Cu 4.902 4.330 1.911
Ni 5.960 3.887 -0.285
Cu 3.532 2.591 3.000
Ni -0.865 1.412 1.165
Cu 1.321 1.995 2.082
Cu 5.742 3.188 3.918
```

**Offset from the most stable computed form**: 0 meV/atom
**SG**: Pmmm
**Calculated formation energy**: -3.5 eV per formula unit